Material: Cs5PaS5
Method: DFT, PBE
State: relaxed

abc: 15.8828 6.2464 9.3594
angles: 90.00 110.79 90.00
With the nearest neighbours (Å) after each atom.
Space group C2/m (No. 12)
One atom of each set of equivalent atoms:
Cs (0.0000, 0.0000, 0.0000) [2 per cell]  4 S 3.37-3.40
Cs (0.1691, 0.5000, 0.3275) [4 per cell]  4 S 3.28-3.59
Cs (0.1988, 0.5000, 0.7958) [4 per cell]  4 S 3.32-3.71
Pa (0.0000, 0.0000, 0.5000) [2 per cell]  4 S 2.61-2.63
S (0.0000, 0.5000, 0.5000) [2 per cell]  2 Pa 3.12, 2 Cs 3.38
S (0.1251, 0.0000, 0.3799) [4 per cell]  1 Pa 2.61
S (0.1245, 0.0000, 0.7742) [4 per cell]  1 Pa 2.63

Raw total energy, eV for the cell shown: -97.10